No. 1
Below is an optimized crystal structure of Sm5Er3H12, with properties calculated at the GGA-PBE level.

Cell lengths 11.458, 11.458, 11.458 Å; angles 109.47, 109.47, 109.47 degrees
Sites, in units of the cell vectors:
1 H 0.932 0.844 0.773
2 H 0.068 0.912 0.340
3 H 0.912 0.844 0.571
4 H 0.660 0.588 0.932
5 H 0.088 0.932 0.160
6 H 0.340 0.929 0.773
7 H 0.929 0.340 0.273
8 H 0.588 0.660 0.432
9 H 0.844 0.932 0.273
10 H 0.568 0.840 0.412
11 H 0.068 0.156 0.227
12 H 0.273 0.840 0.929
13 H 0.588 0.929 0.656
14 H 0.656 0.227 0.568
15 H 0.773 0.429 0.340
16 H 0.429 0.656 0.088
17 H 0.571 0.344 0.912
18 H 0.156 0.088 0.929
19 H 0.160 0.727 0.571
20 H 0.273 0.432 0.844
21 H 0.088 0.156 0.429
22 H 0.912 0.068 0.840
23 H 0.412 0.340 0.568
24 H 0.844 0.912 0.071
25 H 0.412 0.071 0.344
26 H 0.840 0.273 0.429
27 H 0.929 0.588 0.156
28 H 0.660 0.071 0.227
29 H 0.429 0.773 0.840
30 H 0.227 0.656 0.068
31 H 0.932 0.088 0.660
32 H 0.568 0.727 0.656
33 H 0.840 0.568 0.912
34 H 0.656 0.429 0.588
35 H 0.571 0.227 0.160
36 H 0.156 0.068 0.727
37 H 0.160 0.432 0.088
38 H 0.727 0.160 0.071
39 H 0.071 0.412 0.844
40 H 0.227 0.571 0.660
41 H 0.432 0.160 0.588
42 H 0.773 0.344 0.932
43 H 0.344 0.571 0.412
44 H 0.071 0.660 0.727
45 H 0.727 0.568 0.156
46 H 0.432 0.273 0.344
47 H 0.340 0.412 0.068
48 H 0.344 0.773 0.432
49 Er 0.125 0.250 0.875
50 Er 0.625 0.250 0.375
51 Er 0.250 0.125 0.375
52 Er 0.375 0.750 0.625
53 Er 0.875 0.125 0.250
54 Er 0.750 0.875 0.625
55 Er 0.875 0.750 0.125
56 Er 0.125 0.875 0.750
57 Er 0.625 0.375 0.750
58 Er 0.250 0.625 0.875
59 Er 0.750 0.375 0.125
60 Er 0.375 0.625 0.250
61 Sm 0.375 0.250 0.125
62 Sm 0.500 0.500 0.500
63 Sm 0.625 0.750 0.875
64 Sm 0.500 0.000 0.000
65 Sm 0.250 0.875 0.125
66 Sm 0.000 0.500 0.500
67 Sm 0.125 0.375 0.250
68 Sm 0.750 0.625 0.375
69 Sm 0.000 0.000 0.000
70 Sm 0.250 0.375 0.625
71 Sm 0.875 0.250 0.625
72 Sm 0.750 0.125 0.875
73 Sm 0.625 0.875 0.250
74 Sm 0.500 0.000 0.500
75 Sm 0.000 0.500 0.000
76 Sm 0.500 0.500 0.000
77 Sm 0.875 0.625 0.750
78 Sm 0.000 0.000 0.500
79 Sm 0.125 0.750 0.375
80 Sm 0.375 0.125 0.750

Summary:
* total energy: -345.32 eV/cell
* density: 7.261 g cm⁻³
* space group: Ia-3d, No. 230
* magnetic moment: 0.000 μB per atom

=====

No. 2
Below is an optimized crystal structure of La2Pr2Er15, with properties calculated at the GGA-PBE level.

Cell lengths 8.710, 8.710, 8.710 Å; angles 81.08, 81.08, 81.08 degrees
Sites, in units of the cell vectors:
1 Er 0.845 0.363 0.363
2 Er 0.637 0.637 0.155
3 Er 0.000 0.694 0.306
4 Er 0.000 0.000 0.500
5 Er 0.000 0.500 0.000
6 Er 0.694 0.306 0.000
7 Er 0.500 0.000 0.000
8 Er 0.637 0.155 0.637
9 Er 0.306 0.694 0.000
10 Er 0.694 0.000 0.306
11 Er 0.000 0.306 0.694
12 Er 0.363 0.845 0.363
13 Er 0.155 0.637 0.637
14 Er 0.363 0.363 0.845
15 Er 0.306 0.000 0.694
16 Pr 0.339 0.339 0.339
17 Pr 0.661 0.661 0.661
18 La 0.879 0.879 0.879
19 La 0.121 0.121 0.121

Summary:
* total energy: -82.78 eV/cell
* density: 7.974 g cm⁻³
* space group: R-3m, No. 166
* magnetic moment: 0.000 μB per atom

=====

No. 3
Below is an optimized crystal structure of Li2TaIn, with properties calculated at the GGA-PBE level.

Cell lengths 4.419, 4.419, 3.348 Å; angles 90.00, 90.00, 90.00 degrees
Sites, in units of the cell vectors:
1 Ta 0.500 0.000 0.500
2 Li 0.000 0.000 0.000
3 Li 0.500 0.500 0.000
4 In 0.000 0.500 0.500

Summary:
* total energy: -17.05 eV/cell
* density: 7.863 g cm⁻³
* space group: P4/mmm, No. 123
* magnetic moment: 0.000 μB per atom